(1)
The following is a DFT calculation (PBE) of La2HgB2Rh5 after structural relaxation.

Cell lengths 9.9029, 9.9029, 3.2929 Å; angles 90.00, 90.00, 90.00 degrees
Last column: nearest neighbours and their distance in Å.
Fractional positions:
1 La 0.1776 0.3224 0.0000  3 B 2.84-3.00, 10 Rh 2.98-3.09
2 La 0.3224 0.8224 0.0000  3 B 2.84-3.00, 10 Rh 2.98-3.09
3 La 0.6776 0.1776 0.0000  3 B 2.84-3.00, 10 Rh 2.98-3.09
4 La 0.8224 0.6776 0.0000  3 B 2.84-3.00, 10 Rh 2.98-3.09
5 Hg 0.0000 0.0000 0.0000  8 Rh 2.91
6 Hg 0.5000 0.5000 0.0000  8 Rh 2.91
7 B 0.1196 0.6196 0.0000  6 Rh 2.26-2.35
8 B 0.3804 0.1196 0.0000  6 Rh 2.26-2.35
9 B 0.6196 0.8804 0.0000  6 Rh 2.26-2.35
10 B 0.8804 0.3804 0.0000  6 Rh 2.26-2.35
11 Rh 0.0000 0.5000 0.5000  4 B 2.35
12 Rh 0.0701 0.7675 0.5000  2 B 2.26
13 Rh 0.2325 0.0701 0.5000  2 B 2.26
14 Rh 0.2675 0.5701 0.5000  2 B 2.26
15 Rh 0.4299 0.2675 0.5000  2 B 2.26
16 Rh 0.5000 0.0000 0.5000  4 B 2.35
17 Rh 0.5701 0.7325 0.5000  2 B 2.26
18 Rh 0.7325 0.4299 0.5000  2 B 2.26
19 Rh 0.7675 0.9299 0.5000  2 B 2.26
20 Rh 0.9299 0.2325 0.5000  2 B 2.26

## Properties
SG	No. 127
spin magnetization	0.00	μB/f.u.
ΔE_f	-0.58	eV/atom
N(E_F)	8.4	states/eV per cell

---

(2)
The following is a DFT calculation (PBE) of AcEu6 after structural relaxation.

Cell lengths 8.5793, 8.5793, 8.5793 Å; angles 90.00, 90.00, 90.00 degrees
Last column: nearest neighbours and their distance in Å.
Fractional positions:
1 Ac 0.0000 0.0000 0.0000  24 Eu 4.80
2 Ac 0.5000 0.5000 0.5000  24 Eu 4.80
3 Eu 0.0000 0.2500 0.5000  4 Eu 3.03
4 Eu 0.0000 0.5000 0.2500  4 Eu 3.03
5 Eu 0.0000 0.5000 0.7500  4 Eu 3.03
6 Eu 0.0000 0.7500 0.5000  4 Eu 3.03
7 Eu 0.2500 0.0000 0.5000  4 Eu 3.03
8 Eu 0.2500 0.5000 0.0000  4 Eu 3.03
9 Eu 0.5000 0.0000 0.2500  4 Eu 3.03
10 Eu 0.5000 0.0000 0.7500  4 Eu 3.03
11 Eu 0.5000 0.2500 0.0000  4 Eu 3.03
12 Eu 0.5000 0.7500 0.0000  4 Eu 3.03
13 Eu 0.7500 0.0000 0.5000  4 Eu 3.03
14 Eu 0.7500 0.5000 0.0000  4 Eu 3.03

## Properties
SG	No. 229
spin magnetization	46.05	μB/f.u.
ΔE_f	0.93	eV/atom
N(E_F)	25.6	states/eV per cell

---

(3)
The following is a DFT calculation (PBE) of Be3TcRh after structural relaxation.

Cell lengths 4.0398, 4.0398, 4.0398 Å; angles 90.00, 90.00, 90.00 degrees
Last column: nearest neighbours and their distance in Å.
Fractional positions:
1 Be 0.0000 0.0000 0.5000  2 Tc 2.02
2 Be 0.0000 0.5000 0.0000  2 Tc 2.02
3 Be 0.5000 0.0000 0.0000  2 Tc 2.02
4 Tc 0.0000 0.0000 0.0000  6 Be 2.02
5 Rh 0.5000 0.5000 0.5000  12 Be 2.86

## Properties
SG	No. 221
spin magnetization	0.00	μB/f.u.
energy above the lowest structure with this stoichiometry	356.6	meV/atom
ΔE_f	0.93	eV/atom
N(E_F)	3.8	states/eV per cell

---

(4)
The following is a DFT calculation (PBE) of Ba12Tl5Au2 after structural relaxation.

Cell lengths 10.6814, 10.6814, 11.1329 Å; angles 102.84, 102.84, 51.48 degrees
Last column: nearest neighbours and their distance in Å.
Fractional positions:
1 Ba 0.0025 0.0025 0.2177  2 Au 3.35, 2 Tl 3.48-3.71
2 Ba 0.0595 0.5847 0.8891  1 Au 3.34, 2 Tl 3.51-3.56
3 Ba 0.1078 0.5968 0.4399  4 Tl 3.53-3.80
4 Ba 0.4032 0.8922 0.5601  4 Tl 3.53-3.80
5 Ba 0.4153 0.9405 0.1109  1 Au 3.34, 2 Tl 3.51-3.56
6 Ba 0.4523 0.4523 0.1790  2 Au 3.33, 1 Tl 3.46
7 Ba 0.5477 0.5477 0.8210  2 Au 3.33, 1 Tl 3.46
8 Ba 0.5847 0.0595 0.8891  1 Au 3.34, 2 Tl 3.51-3.56
9 Ba 0.5968 0.1078 0.4399  4 Tl 3.53-3.80
10 Ba 0.8922 0.4032 0.5601  4 Tl 3.53-3.80
11 Ba 0.9405 0.4153 0.1109  1 Au 3.34, 2 Tl 3.51-3.56
12 Ba 0.9975 0.9975 0.7823  2 Au 3.35, 2 Tl 3.48-3.71
13 Tl 0.1833 0.1833 0.8359  7 Ba 3.48-3.80
14 Tl 0.1979 0.1979 0.3625  7 Ba 3.51-3.71
15 Tl 0.5000 0.5000 0.5000  6 Ba 3.46-3.57
16 Tl 0.8021 0.8021 0.6375  7 Ba 3.51-3.71
17 Tl 0.8167 0.8167 0.1641  7 Ba 3.48-3.80
18 Au 0.2508 0.7492 0.0000  6 Ba 3.33-3.35
19 Au 0.7492 0.2508 0.0000  6 Ba 3.33-3.35

## Properties
SG	No. 12
spin magnetization	0.00	μB/f.u.
ΔE_f	-0.29	eV/atom
N(E_F)	26.1	states/eV per cell

---

(5)
The following is a DFT calculation (PBE) of Er3PdPb after structural relaxation.

Cell lengths 11.6587, 11.6587, 4.8973 Å; angles 90.01, 90.01, 22.86 degrees
Last column: nearest neighbours and their distance in Å.
Fractional positions:
1 Er 0.0528 0.0528 0.2497  6 Pb 3.38-3.59, 6 Er 3.44-3.66
2 Er 0.1717 0.1717 0.7496  4 Pd 2.95-3.01
3 Er 0.3260 0.3260 0.7503  4 Pd 2.86-3.03
4 Er 0.6740 0.6740 0.2497  4 Pd 2.86-3.03
5 Er 0.8283 0.8283 0.2504  4 Pd 2.95-3.01
6 Er 0.9472 0.9472 0.7503  6 Pb 3.38-3.59, 6 Er 3.44-3.66
7 Pd 0.2481 0.2481 0.2494  8 Er 2.86-3.03
8 Pd 0.7519 0.7519 0.7506  8 Er 2.86-3.03
9 Pb 0.4329 0.4329 0.2503  10 Er 3.32-3.59
10 Pb 0.5671 0.5671 0.7497  10 Er 3.32-3.59

## Properties
SG	No. 12
spin magnetization	0.00	μB/f.u.
ΔE_f	-0.56	eV/atom
N(E_F)	6.0	states/eV per cell

---

(6)
The following is a DFT calculation (PBE) of ZrCrNi after structural relaxation.

Cell lengths 3.9953, 3.9953, 3.4890 Å; angles 90.00, 90.00, 120.00 degrees
Last column: nearest neighbours and their distance in Å.
Fractional positions:
1 Zr 0.0000 0.0000 0.0000  6 Cr 2.89, 6 Ni 2.89
2 Cr 0.6667 0.3333 0.5000  3 Ni 2.31
3 Ni 0.3333 0.6667 0.5000  3 Cr 2.31

## Properties
SG	No. 187
spin magnetization	2.02	μB/f.u.
energy above the lowest structure with this stoichiometry	261.2	meV/atom
ΔE_f	0.07	eV/atom
N(E_F)	2.3	states/eV per cell

---

(7)
The following is a DFT calculation (PBE) of KNaSrMg after structural relaxation.

Cell lengths 8.8650, 8.8650, 8.8650 Å; angles 90.00, 90.00, 90.00 degrees
Last column: nearest neighbours and their distance in Å.
Fractional positions:
1 K 0.0000 0.0000 0.0000  4 Na 3.84, 4 Mg 3.84
2 K 0.0000 0.5000 0.5000  4 Na 3.84, 4 Mg 3.84
3 K 0.5000 0.0000 0.5000  4 Na 3.84, 4 Mg 3.84
4 K 0.5000 0.5000 0.0000  4 Na 3.84, 4 Mg 3.84
5 Na 0.2500 0.2500 0.7500  4 K 3.84, 4 Sr 3.84
6 Na 0.2500 0.7500 0.2500  4 K 3.84, 4 Sr 3.84
7 Na 0.7500 0.2500 0.2500  4 K 3.84, 4 Sr 3.84
8 Na 0.7500 0.7500 0.7500  4 K 3.84, 4 Sr 3.84
9 Sr 0.0000 0.0000 0.5000  4 Na 3.84, 4 Mg 3.84
10 Sr 0.0000 0.5000 0.0000  4 Na 3.84, 4 Mg 3.84
11 Sr 0.5000 0.0000 0.0000  4 Na 3.84, 4 Mg 3.84
12 Sr 0.5000 0.5000 0.5000  4 Na 3.84, 4 Mg 3.84
13 Mg 0.2500 0.2500 0.2500  4 K 3.84, 4 Sr 3.84
14 Mg 0.2500 0.7500 0.7500  4 K 3.84, 4 Sr 3.84
15 Mg 0.7500 0.2500 0.7500  4 K 3.84, 4 Sr 3.84
16 Mg 0.7500 0.7500 0.2500  4 K 3.84, 4 Sr 3.84

## Properties
SG	No. 216
spin magnetization	0.00	μB/f.u.
ΔE_f	0.11	eV/atom
N(E_F)	11.1	states/eV per cell